Here is a geometry-optimized Sr2MnTe structure from the Alexandria database. Energies are from PBE.

a = 4.5736 Å, b = 4.6363 Å, c = 12.5000 Å
α = 90.00°, β = 90.00°, γ = 90.00°
Atoms (fractional coordinates):
Sr (0.0000, 0.0000, 0.0000)
Sr (0.0000, 0.5000, 0.5000)
Sr (0.5000, 0.0000, 0.2896)
Sr (0.5000, 0.5000, 0.7896)
Mn (0.5000, 0.0000, 0.5673)
Mn (0.5000, 0.5000, 0.0673)
Te (0.0000, 0.0000, 0.7115)
Te (0.0000, 0.5000, 0.2115)

Values from the calculation:
VASP energy	-4.35	eV/atom
DOS at the Fermi energy	5.78	states/eV/cell
total magnetic moment	0.884	μB/atom
symmetry	Amm2 (38)
E_form (uncorrected)	-0.432	eV per atom